Here is a geometry-optimized Ho2ErGa structure from Alexandria via LeMat-Bulk. Energies are from PBE.

```
data_Ho2ErGa
_space_group_name_H-M_alt 'R -3 m'
_space_group_IT_number 166
_space_group_name_Hall '-R 3 2"'
_cell_length_a 3.4604
_cell_length_b 3.4604
_cell_length_c 34.6926
_cell_angle_alpha 90.00
_cell_angle_beta 90.00
_cell_angle_gamma 120.00
loop_
_atom_site_label
_atom_site_fract_x
_atom_site_fract_y
_atom_site_fract_z
Ho1 0.0000 0.0000 0.0858
Er1 0.0000 0.0000 0.5000
Ga1 0.0000 0.0000 0.0000
```

Results
formation energy from the elements = 0.137 eV/atom
energy above the most stable polymorph in this dataset = 419 meV/atom

Here is a geometry-optimized HfPt2F structure from Alexandria via LeMat-Bulk. Energies are from PBE.

```
data_HfPt2F
_space_group_name_H-M_alt 'F m -3 m'
_space_group_IT_number 225
_space_group_name_Hall '-F 4 2 3'
_cell_length_a 6.3488
_cell_length_b 6.3488
_cell_length_c 6.3488
_cell_angle_alpha 90.00
_cell_angle_beta 90.00
_cell_angle_gamma 90.00
loop_
_atom_site_label
_atom_site_fract_x
_atom_site_fract_y
_atom_site_fract_z
Hf1 0.0000 0.0000 0.0000
Pt1 0.2500 0.2500 0.2500
F1 0.0000 0.0000 0.5000
```

Results
energy above the most stable polymorph in this dataset = 280 meV/atom

Here is a geometry-optimized Pm4GePtS2 structure from Alexandria via LeMat-Bulk. Energies are from PBE.

```
data_Pm4GePtS2
_space_group_name_H-M_alt 'P 1 2/m 1'
_space_group_IT_number 10
_cell_length_a 7.1391
_cell_length_b 4.1067
_cell_length_c 7.3223
_cell_angle_alpha 90.00
_cell_angle_beta 109.23
_cell_angle_gamma 90.00
loop_
_space_group_symop_operation_xyz
'x,y,z'
'-x,-y,-z'
'-x,y,-z'
'x,-y,z'
loop_
_atom_site_label
_atom_site_fract_x
_atom_site_fract_y
_atom_site_fract_z
Pm1 0.2470 0.0000 0.2496
Pm2 0.2500 0.5000 0.7439
Ge1 0.5000 0.0000 0.0000
Pt1 0.0000 0.5000 0.0000
S1 0.0000 0.0000 0.5000
S2 0.5000 0.5000 0.5000
```

Results
energy = -6.197 eV per atom

Here is a geometry-optimized CoSb2TePd structure from Alexandria via LeMat-Bulk. Energies are from PBE.

```
data_CoSb2TePd
_space_group_name_H-M_alt 'P 4/m m m'
_space_group_IT_number 123
_space_group_name_Hall '-P 4 2'
_cell_length_a 5.1356
_cell_length_b 5.1356
_cell_length_c 5.4212
_cell_angle_alpha 90.00
_cell_angle_beta 90.00
_cell_angle_gamma 90.00
loop_
_atom_site_label
_atom_site_fract_x
_atom_site_fract_y
_atom_site_fract_z
Co1 0.0000 0.0000 0.0000
Sb1 0.0000 0.5000 0.5000
Te1 0.5000 0.5000 0.0000
Pd1 0.5000 0.5000 0.5000
```

Results
energy above the most stable polymorph in this dataset = 443 meV/atom

Here is a geometry-optimized SrYOs2 structure from Alexandria via LeMat-Bulk. Energies are from PBE.

```
data_SrYOs2
_space_group_name_H-M_alt 'C 1 2/m 1'
_space_group_IT_number 12
_cell_length_a 6.1518
_cell_length_b 9.3396
_cell_length_c 3.0147
_cell_angle_alpha 90.00
_cell_angle_beta 110.77
_cell_angle_gamma 90.00
loop_
_space_group_symop_operation_xyz
'x,y,z'
'-x,-y,-z'
'-x,y,-z'
'x,-y,z'
'x+1/2,y+1/2,z'
'-x+1/2,-y+1/2,-z'
'-x+1/2,y+1/2,-z'
'x+1/2,-y+1/2,z'
loop_
_atom_site_label
_atom_site_fract_x
_atom_site_fract_y
_atom_site_fract_z
Sr1 0.0000 0.0000 0.0000
Y1 0.0000 0.5000 0.0000
Os1 0.2500 0.2500 0.5000
```

Results
formation energy from the elements = 0.820 eV/atom
energy above the most stable polymorph in this dataset = 680 meV/atom

Here is a geometry-optimized TbLuMnZn structure from Alexandria via LeMat-Bulk. Energies are from PBE.

```
data_TbLuMnZn
_space_group_name_H-M_alt 'F -4 3 m'
_space_group_IT_number 216
_space_group_name_Hall 'F -4 2 3'
_cell_length_a 7.0202
_cell_length_b 7.0202
_cell_length_c 7.0202
_cell_angle_alpha 90.00
_cell_angle_beta 90.00
_cell_angle_gamma 90.00
loop_
_atom_site_label
_atom_site_fract_x
_atom_site_fract_y
_atom_site_fract_z
Tb1 0.0000 0.0000 0.0000
Lu1 0.0000 0.0000 0.5000
Mn1 0.2500 0.2500 0.7500
Zn1 0.2500 0.2500 0.2500
```

Results
formation energy from the elements = -0.052 eV/atom

| no. | total magnetic moment (Bohr magnetons per cell) |
| --- | --- |
| 1 | 0.0 |
| 2 | 0.0 |
| 3 | 0.0 |
| 4 | 2.1 |
| 5 | 0.0 |
| 6 | 11.1 |